(1)
Here is a relaxed structure of AsPBr2 from the Alexandria database. Energies are from PBE.

Geometry as extended XYZ:
```
4
Lattice="-1.256 -2.630 -1.177 1.303 0.626 -2.791 8.680 -5.416 2.838" Properties=species:S:1:pos:R:3 pbc="T T T"
As 6.534 -5.064 0.145
Br 0.763 -0.476 0.249
Br 3.577 -2.232 1.170
P 2.194 -2.356 -1.274
```

Computed properties:
Density: 4.21 g/cm³
Formation energy without anion corrections: 19.52 kcal/mol of atoms

(2)
Here is a relaxed structure of HfBeCl3 from the Alexandria database. Energies are from PBE.

Geometry as extended XYZ:
```
5
Lattice="-2.311 3.842 0.209 -2.881 -1.567 -3.064 -2.550 -1.712 3.273" Properties=species:S:1:pos:R:3 pbc="T T T"
Be 0.000 0.000 0.000
Hf -3.871 0.281 0.209
Cl -1.441 -0.783 -1.532
Cl -1.275 -0.856 1.636
Cl -1.156 1.921 0.105
```

Computed properties:
Density: 5.40 g/cm³
Formation energy without anion corrections: -0.98 kcal/mol of atoms

(3)
Here is a relaxed structure of LuThAu2 from the Alexandria database. Energies are from PBE.

Geometry as extended XYZ:
```
4
Lattice="5.004 0.000 0.000 2.502 4.333 0.000 2.502 1.444 4.492" Properties=species:S:1:pos:R:3 pbc="T T T"
Lu 5.004 2.889 2.246
Au 7.505 4.333 3.155
Au 2.502 1.444 1.338
Th 0.000 0.000 0.000
```

Computed properties:
Uncorrected energy: -5.320 eV/atom
Density: 13.65 g/cm³

(4)
Here is a relaxed structure of Rb2AuI4 from the Alexandria database. Energies are from PBE.

Geometry as extended XYZ:
```
14
Lattice="-3.169 -1.509 -8.048 -4.883 -4.391 2.746 -5.276 8.304 3.896" Properties=species:S:1:pos:R:3 pbc="T T T"
Rb -6.399 -3.930 -3.825
Rb -6.929 6.334 2.420
Rb -4.172 2.127 0.595
Rb -9.156 0.277 -2.001
Au -5.446 -2.110 0.779
Au -7.882 4.514 -2.185
I -5.346 -0.744 -1.700
I -8.850 4.181 4.787
I -4.478 -1.777 -6.192
I -3.025 1.343 -3.005
I -7.401 2.694 -4.239
I -10.302 1.061 1.599
I -7.982 3.148 0.294
I -5.927 -0.290 2.833
```

Computed properties:
Density: 4.60 g/cm³
Formation energy without anion corrections: -19.35 kcal/mol of atoms